# 1
First-principles (SCAN) data for a PBEsol-optimized structure of Mg2AgPt, as listed in Alexandria via LeMat-Bulk.

a = 6.3999 Å, b = 6.3999 Å, c = 6.3999 Å
α = 90.00°, β = 90.00°, γ = 90.00°
Fractional coordinates of all 16 atoms:
Mg: 0.2500 0.2500 0.2500
Mg: 0.2500 0.2500 0.7500
Mg: 0.2500 0.7500 0.2500
Mg: 0.2500 0.7500 0.7500
Mg: 0.7500 0.2500 0.2500
Mg: 0.7500 0.2500 0.7500
Mg: 0.7500 0.7500 0.2500
Mg: 0.7500 0.7500 0.7500
Ag: 0.0000 0.0000 0.0000
Ag: 0.0000 0.5000 0.5000
Ag: 0.5000 0.0000 0.5000
Ag: 0.5000 0.5000 0.0000
Pt: 0.0000 0.0000 0.5000
Pt: 0.0000 0.5000 0.0000
Pt: 0.5000 0.0000 0.0000
Pt: 0.5000 0.5000 0.5000

Computed properties:
magnetic moment = 0.0 Bohr magnetons per cell
E_form = -0.6746 eV per atom
relative energy among the computed polymorphs = 0.0000 eV per atom
Fermi-level density of states = 5.5 states/eV per cell


# 2
First-principles (SCAN) data for a PBEsol-optimized structure of MgAg3Pt, as listed in Alexandria via LeMat-Bulk.

a = 4.6233 Å, b = 4.6233 Å, c = 4.6233 Å
α = 90.00°, β = 90.00°, γ = 90.00°
Fractional coordinates of all 5 atoms:
Mg: 0.0000 0.0000 0.0000
Ag: 0.0000 0.0000 0.5000
Ag: 0.0000 0.5000 0.0000
Ag: 0.5000 0.0000 0.0000
Pt: 0.5000 0.5000 0.5000

Computed properties:
magnetic moment = 0.0 Bohr magnetons per cell
E_form = 0.9922 eV per atom
Fermi-level density of states = 1.7 states/eV per cell


# 3
First-principles (SCAN) data for a PBEsol-optimized structure of Mg2AgPt, as listed in Alexandria via LeMat-Bulk.

a = 6.4394 Å, b = 6.4394 Å, c = 6.4394 Å
α = 90.00°, β = 90.00°, γ = 90.00°
Fractional coordinates of all 16 atoms:
Mg: 0.0000 0.0000 0.0000
Mg: 0.0000 0.5000 0.5000
Mg: 0.2500 0.2500 0.2500
Mg: 0.2500 0.7500 0.7500
Mg: 0.5000 0.0000 0.5000
Mg: 0.5000 0.5000 0.0000
Mg: 0.7500 0.2500 0.7500
Mg: 0.7500 0.7500 0.2500
Ag: 0.2500 0.2500 0.7500
Ag: 0.2500 0.7500 0.2500
Ag: 0.7500 0.2500 0.2500
Ag: 0.7500 0.7500 0.7500
Pt: 0.0000 0.0000 0.5000
Pt: 0.0000 0.5000 0.0000
Pt: 0.5000 0.0000 0.0000
Pt: 0.5000 0.5000 0.5000

Computed properties:
magnetic moment = 0.0 Bohr magnetons per cell
E_form = -0.4828 eV per atom
relative energy among the computed polymorphs = 0.1919 eV per atom
Fermi-level density of states = 4.0 states/eV per cell


# 4
First-principles (SCAN) data for a PBEsol-optimized structure of MgAg2Pt, as listed in Alexandria via LeMat-Bulk.

a = 3.9518 Å, b = 3.9518 Å, c = 4.0978 Å
α = 90.00°, β = 90.00°, γ = 90.00°
Fractional coordinates of all 4 atoms:
Mg: 0.0000 0.0000 0.0000
Ag: 0.0000 0.5000 0.5000
Ag: 0.5000 0.0000 0.5000
Pt: 0.5000 0.5000 0.0000

Computed properties:
magnetic moment = 0.0 Bohr magnetons per cell
E_form = -0.3763 eV per atom
Fermi-level density of states = 0.9 states/eV per cell


# 5
First-principles (SCAN) data for a PBEsol-optimized structure of Mg2AgPt, as listed in Alexandria via LeMat-Bulk.

a = 3.4350 Å, b = 3.4350 Å, c = 5.8340 Å
α = 90.00°, β = 90.00°, γ = 90.00°
Fractional coordinates of all 4 atoms:
Mg: 0.0000 0.0000 0.0000
Mg: 0.5000 0.5000 0.3109
Ag: 0.5000 0.5000 0.7775
Pt: 0.0000 0.0000 0.5020

Computed properties:
magnetic moment = 0.0 Bohr magnetons per cell
E_form = -0.4304 eV per atom
relative energy among the computed polymorphs = 0.2442 eV per atom
Fermi-level density of states = 1.1 states/eV per cell


# 6
First-principles (SCAN) data for a PBEsol-optimized structure of Mg2AgPt, as listed in Alexandria via LeMat-Bulk.

a = 4.5402 Å, b = 4.5402 Å, c = 3.1757 Å
α = 90.00°, β = 90.00°, γ = 90.00°
Fractional coordinates of all 4 atoms:
Mg: 0.0000 0.5000 0.0000
Mg: 0.5000 0.0000 0.0000
Ag: 0.0000 0.0000 0.5000
Pt: 0.5000 0.5000 0.5000

Computed properties:
magnetic moment = 0.0 Bohr magnetons per cell
E_form = -0.6288 eV per atom
relative energy among the computed polymorphs = 0.0458 eV per atom
Fermi-level density of states = 1.7 states/eV per cell


# 7
First-principles (SCAN) data for a PBEsol-optimized structure of MgAgPt, as listed in Alexandria via LeMat-Bulk.

a = 6.1390 Å, b = 6.1390 Å, c = 6.1390 Å
α = 90.00°, β = 90.00°, γ = 90.00°
Fractional coordinates of all 12 atoms:
Mg: 0.0000 0.0000 0.0000
Mg: 0.0000 0.5000 0.5000
Mg: 0.5000 0.0000 0.5000
Mg: 0.5000 0.5000 0.0000
Ag: 0.2500 0.2500 0.2500
Ag: 0.2500 0.7500 0.7500
Ag: 0.7500 0.2500 0.7500
Ag: 0.7500 0.7500 0.2500
Pt: 0.0000 0.0000 0.5000
Pt: 0.0000 0.5000 0.0000
Pt: 0.5000 0.0000 0.0000
Pt: 0.5000 0.5000 0.5000

Computed properties:
magnetic moment = 0.0 Bohr magnetons per cell
E_form = -0.0819 eV per atom
Fermi-level density of states = 3.9 states/eV per cell


# 8
First-principles (SCAN) data for a PBEsol-optimized structure of MgAg2Pt, as listed in Alexandria via LeMat-Bulk.

a = 2.9023 Å, b = 3.9134 Å, c = 5.7008 Å
α = 90.00°, β = 90.00°, γ = 90.00°
Fractional coordinates of all 4 atoms:
Mg: 0.0000 0.0000 0.0000
Ag: 0.0000 0.0000 0.4831
Ag: 0.5000 0.5000 0.7258
Pt: 0.5000 0.5000 0.2193

Computed properties:
magnetic moment = 0.0 Bohr magnetons per cell
E_form = -0.3574 eV per atom
Fermi-level density of states = 1.0 states/eV per cell


# 9
First-principles (SCAN) data for a PBEsol-optimized structure of Mg2AgPt, as listed in Alexandria via LeMat-Bulk.

a = 3.9304 Å, b = 3.9304 Å, c = 8.5341 Å
α = 90.00°, β = 90.00°, γ = 90.00°
Fractional coordinates of all 8 atoms:
Mg: 0.0000 0.0000 0.0000
Mg: 0.0000 0.5000 0.2500
Mg: 0.5000 0.0000 0.7500
Mg: 0.5000 0.5000 0.5000
Ag: 0.0000 0.5000 0.7500
Ag: 0.5000 0.0000 0.2500
Pt: 0.0000 0.0000 0.5000
Pt: 0.5000 0.5000 0.0000

Computed properties:
magnetic moment = 0.0 Bohr magnetons per cell
E_form = -0.5839 eV per atom
relative energy among the computed polymorphs = 0.0907 eV per atom
Fermi-level density of states = 2.7 states/eV per cell


# 10
First-principles (SCAN) data for a PBEsol-optimized structure of RbMg2AgPt, as listed in Alexandria via LeMat-Bulk.

a = 5.0518 Å, b = 5.0518 Å, c = 5.7428 Å
α = 90.00°, β = 90.00°, γ = 90.00°
Fractional coordinates of all 5 atoms:
Rb: 0.0000 0.0000 0.0000
Mg: 0.0000 0.5000 0.5000
Mg: 0.5000 0.0000 0.5000
Ag: 0.0000 0.0000 0.5000
Pt: 0.5000 0.5000 0.0000

Computed properties:
magnetic moment = 0.0 Bohr magnetons per cell
E_form = 0.5770 eV per atom
Fermi-level density of states = 2.1 states/eV per cell


# 11
First-principles (SCAN) data for a PBEsol-optimized structure of RbMgAg2, as listed in Alexandria via LeMat-Bulk.

a = 7.4409 Å, b = 7.4409 Å, c = 7.4409 Å
α = 90.00°, β = 90.00°, γ = 90.00°
Fractional coordinates of all 16 atoms:
Rb: 0.0000 0.0000 0.0000
Rb: 0.0000 0.5000 0.5000
Rb: 0.5000 0.0000 0.5000
Rb: 0.5000 0.5000 0.0000
Mg: 0.0000 0.0000 0.5000
Mg: 0.0000 0.5000 0.0000
Mg: 0.5000 0.0000 0.0000
Mg: 0.5000 0.5000 0.5000
Ag: 0.2500 0.2500 0.2500
Ag: 0.2500 0.2500 0.7500
Ag: 0.2500 0.7500 0.2500
Ag: 0.2500 0.7500 0.7500
Ag: 0.7500 0.2500 0.2500
Ag: 0.7500 0.2500 0.7500
Ag: 0.7500 0.7500 0.2500
Ag: 0.7500 0.7500 0.7500

Computed properties:
magnetic moment = 0.0 Bohr magnetons per cell
E_form = 0.3054 eV per atom
Fermi-level density of states = 4.2 states/eV per cell


# 12
First-principles (SCAN) data for a PBEsol-optimized structure of MgReAg, as listed in Alexandria via LeMat-Bulk.

a = 2.6849 Å, b = 2.6849 Å, c = 13.2120 Å
α = 90.00°, β = 90.00°, γ = 90.00°
Fractional coordinates of all 6 atoms:
Mg: 0.0000 0.0000 0.0000
Mg: 0.5000 0.5000 0.5000
Re: 0.0000 0.0000 0.6628
Re: 0.5000 0.5000 0.1628
Ag: 0.0000 0.0000 0.3305
Ag: 0.5000 0.5000 0.8305

Computed properties:
magnetic moment = 0.0 Bohr magnetons per cell
E_form = 0.3067 eV per atom
relative energy among the computed polymorphs = 0.0141 eV per atom
Fermi-level density of states = 2.3 states/eV per cell


# 13
First-principles (SCAN) data for a PBEsol-optimized structure of MgReAg, as listed in Alexandria via LeMat-Bulk.

a = 2.7870 Å, b = 2.7870 Å, c = 7.0837 Å
α = 90.00°, β = 90.00°, γ = 120.00°
Fractional coordinates of all 3 atoms:
Mg: 0.0000 0.0000 0.0000
Re: 0.3333 0.6667 0.6721
Ag: 0.6667 0.3333 0.3345

Computed properties:
magnetic moment = 0.0 Bohr magnetons per cell
E_form = 0.2926 eV per atom
relative energy among the computed polymorphs = 0.0000 eV per atom
Fermi-level density of states = 0.8 states/eV per cell


# 14
First-principles (SCAN) data for a PBEsol-optimized structure of Mg3ReAg, as listed in Alexandria via LeMat-Bulk.

a = 5.0037 Å, b = 5.0037 Å, c = 5.0037 Å
α = 90.00°, β = 90.00°, γ = 90.00°
Fractional coordinates of all 5 atoms:
Mg: 0.0000 0.0000 0.5000
Mg: 0.0000 0.5000 0.0000
Mg: 0.5000 0.0000 0.0000
Re: 0.0000 0.0000 0.0000
Ag: 0.5000 0.5000 0.5000

Computed properties:
magnetic moment = 0.7 Bohr magnetons per cell
E_form = 1.1239 eV per atom
Fermi-level density of states = 4.9 states/eV per cell


# 15
First-principles (SCAN) data for a PBEsol-optimized structure of MgReAg2, as listed in Alexandria via LeMat-Bulk.

a = 2.7072 Å, b = 4.9023 Å, c = 9.9258 Å
α = 90.00°, β = 90.00°, γ = 90.00°
Fractional coordinates of all 8 atoms:
Mg: 0.0000 0.0000 0.0000
Mg: 0.5000 0.5000 0.5000
Re: 0.0000 0.0000 0.5000
Re: 0.5000 0.5000 0.0000
Ag: 0.0000 0.5000 0.2480
Ag: 0.0000 0.5000 0.7520
Ag: 0.5000 0.0000 0.2520
Ag: 0.5000 0.0000 0.7480

Computed properties:
magnetic moment = 1.1 Bohr magnetons per cell
E_form = 0.5053 eV per atom
Fermi-level density of states = 3.0 states/eV per cell